Computed, not measured: a relaxed structure of TaCo8B4 at the PBE-GGA level of DFT.

Properties
Space-group type = I4/mmm
Volume = 9.3 Å³ per atom
Formation energy from the elements = -0.126 eV per atom
Electronic total energy = -97.048 eV per cell

Lattice parameters (Å, degrees): 5.696 5.696 5.696 98.38 98.38 135.11
Fractional positions:
Ta 0.000 0.000 0.000
Co 0.000 0.339 0.339
Co 0.000 0.661 0.661
Co 0.277 0.500 0.777
Co 0.339 0.000 0.339
Co 0.500 0.277 0.777
Co 0.500 0.723 0.223
Co 0.661 0.000 0.661
Co 0.723 0.500 0.223
B 0.000 0.000 0.500
B 0.000 0.500 0.000
B 0.500 0.000 0.000
B 0.500 0.500 0.500